Compound: Nb2ZnGeI
Source: Alexandria
Functional: PBE
Structure: optimized geometry

Calculated values
Raw formation energy ... 1.71 eV/atom

a b c (Å): 5.0637 5.0637 5.3957
angles (deg): 90.00 90.00 90.00
Last column: nearest neighbours and their distance in Å.
Space group P4/mmm (No. 123)
Inequivalent atoms, fractional coordinates:
Nb: 0.0000 0.5000 0.0000 [2 per cell]  2 I 2.53
Zn: 0.0000 0.0000 0.5000 [1 per cell]  4 Ge 3.58, 8 Nb 3.70
Ge: 0.5000 0.5000 0.5000 [1 per cell]  2 I 2.70
I: 0.5000 0.5000 0.0000 [1 per cell]  4 Nb 2.53, 2 Ge 2.70

Compound: LaHgBr2
Source: Alexandria
Functional: PBE
Structure: optimized geometry

Calculated values
Raw formation energy ... -1.32 eV/atom
Offset from the most stable computed form ... 0 meV/atom

a b c (Å): 3.7236 3.7247 10.0769
angles (deg): 90.00 90.13 90.00
Last column: nearest neighbours and their distance in Å.
Space group P2/m (No. 10)
Inequivalent atoms, fractional coordinates:
La: 0.0000 0.0000 0.0000 [1 per cell]  8 Br 3.16
Hg: 0.0000 0.0000 0.5000 [1 per cell]  4 Hg 3.72
Br: 0.4989 0.5000 0.8269 [2 per cell]  4 La 3.16, 1 Br 3.49

Compound: Ac6Mg15Hg8
Source: Alexandria
Functional: PBE
Structure: optimized geometry

Calculated values
ΔH_f (0 K) ... -255.7 meV/atom

a b c (Å): 14.6932 14.6932 14.6932
angles (deg): 90.00 90.00 90.00
Last column: nearest neighbours and their distance in Å.
Space group Fm-3m (No. 225)
Inequivalent atoms, fractional coordinates:
Ac: 0.0000 0.0000 0.2226 [24 per cell]  4 Hg 3.45, 8 Mg 3.65-3.70
Mg: 0.0000 0.0000 0.5000 [4 per cell]  8 Hg 3.27
Mg: 0.0000 0.2500 0.2500 [24 per cell]  4 Mg 3.00, 4 Hg 3.15
Mg: 0.1719 0.1719 0.1719 [32 per cell]  6 Mg 3.00-3.24, 3 Hg 3.07
Hg: 0.1285 0.1285 0.3715 [32 per cell]  7 Mg 3.07-3.27

Compound: NdGd3Co
Source: Alexandria
Functional: PBE
Structure: optimized geometry

Calculated values
ΔH_f (0 K) ... -19.9 meV/atom

a b c (Å): 5.3407 5.3407 5.3407
angles (deg): 90.00 90.00 90.00
Last column: nearest neighbours and their distance in Å.
Space group Pm-3m (No. 221)
Inequivalent atoms, fractional coordinates:
Nd: 0.0000 0.0000 0.0000 [1 per cell]  12 Gd 3.78
Gd: 0.0000 0.5000 0.5000 [3 per cell]  2 Co 2.67
Co: 0.5000 0.5000 0.5000 [1 per cell]  6 Gd 2.67

Compound: CoNiSeN2
Source: Alexandria
Functional: PBE
Structure: optimized geometry

Calculated values
Raw formation energy ... 1.33 eV/atom
Offset from the most stable computed form ... 328 meV/atom

a b c (Å): 3.4513 3.4513 6.5070
angles (deg): 90.00 90.00 90.00
Last column: nearest neighbours and their distance in Å.
Space group P4/mmm (No. 123)
Inequivalent atoms, fractional coordinates:
Co: 0.0000 0.0000 0.0000 [1 per cell]  4 Se 2.44
Ni: 0.5000 0.5000 0.5000 [1 per cell]  4 N 1.73
Se: 0.5000 0.5000 0.0000 [1 per cell]  4 Co 2.44
N: 0.0000 0.5000 0.5000 [2 per cell]  2 Ni 1.73

What did the third record say?
Compound: Ac6Mg15Hg8
Source: Alexandria
Functional: PBE
Structure: optimized geometry

Calculated values
ΔH_f (0 K) ... -255.7 meV/atom

a b c (Å): 14.6932 14.6932 14.6932
angles (deg): 90.00 90.00 90.00
Last column: nearest neighbours and their distance in Å.
Space group Fm-3m (No. 225)
Inequivalent atoms, fractional coordinates:
Ac: 0.0000 0.0000 0.2226 [24 per cell]  4 Hg 3.45, 8 Mg 3.65-3.70
Mg: 0.0000 0.0000 0.5000 [4 per cell]  8 Hg 3.27
Mg: 0.0000 0.2500 0.2500 [24 per cell]  4 Mg 3.00, 4 Hg 3.15
Mg: 0.1719 0.1719 0.1719 [32 per cell]  6 Mg 3.00-3.24, 3 Hg 3.07
Hg: 0.1285 0.1285 0.3715 [32 per cell]  7 Mg 3.07-3.27

What did the first record say?
Compound: Nb2ZnGeI
Source: Alexandria
Functional: PBE
Structure: optimized geometry

Calculated values
Raw formation energy ... 1.71 eV/atom

a b c (Å): 5.0637 5.0637 5.3957
angles (deg): 90.00 90.00 90.00
Last column: nearest neighbours and their distance in Å.
Space group P4/mmm (No. 123)
Inequivalent atoms, fractional coordinates:
Nb: 0.0000 0.5000 0.0000 [2 per cell]  2 I 2.53
Zn: 0.0000 0.0000 0.5000 [1 per cell]  4 Ge 3.58, 8 Nb 3.70
Ge: 0.5000 0.5000 0.5000 [1 per cell]  2 I 2.70
I: 0.5000 0.5000 0.0000 [1 per cell]  4 Nb 2.53, 2 Ge 2.70